# 1
DFT (SCAN) results for Lu2CuTc at its PBEsol-relaxed geometry.

Cell lengths 4.680, 4.680, 4.680 Å; angles 60.00, 60.00, 60.00 degrees
Sites, in units of the cell vectors:
Lu1 0.250 0.250 0.250
Lu2 0.750 0.750 0.750
Cu1 0.000 0.000 0.000
Tc1 0.500 0.500 0.500

Energy relative to the elements, kJ/mol of formula units: -99.3

---

# 2
DFT (SCAN) results for CoTcP2S at its PBEsol-relaxed geometry.

Cell lengths 4.160, 4.160, 4.337 Å; angles 90.00, 90.00, 90.00 degrees
Sites, in units of the cell vectors:
Co1 0.000 0.000 0.000
Tc1 0.500 0.500 0.500
P1 0.000 0.500 0.000
P2 0.500 0.000 0.000
S1 0.000 0.000 0.500

ΔE_f (raw), eV/f.u.: 4.4

---

no.,energy (eV/atom)
1,-40.4942
2,-15.6874